KSmSc4S8 | the Alexandria database | PBE-GGA | optimized geometry; total magnetic moment = 0.0 μB per formula unit; raw formation energy = -1.77 eV/atom
1.0
3.894 2.248 6.689
-3.894 2.248 6.689
0.000 -4.497 6.689
K Sm Sc S
1 1 4 8
Direct
0.000 0.000 0.000
0.639 0.639 0.639
0.119 0.639 0.639
0.262 0.262 0.262
0.639 0.119 0.639
0.639 0.639 0.119
0.384 0.384 0.872
0.384 0.872 0.384
0.392 0.392 0.392
0.433 0.881 0.881
0.863 0.863 0.863
0.872 0.384 0.384
0.881 0.433 0.881
0.881 0.881 0.433

K3Sc3TaS8 | the Alexandria database | PBE-GGA | optimized geometry; total magnetic moment = 0.6 μB per formula unit; raw formation energy = -1.59 eV/atom
1.0
3.728 2.152 7.494
-3.728 2.152 7.494
0.000 -4.304 7.494
K Sc Ta S
3 3 1 8
Direct
0.000 0.500 0.500
0.500 0.000 0.500
0.500 0.500 0.000
0.000 0.000 0.500
0.000 0.500 0.000
0.500 0.000 0.000
0.500 0.500 0.500
0.231 0.231 0.231
0.241 0.724 0.724
0.276 0.276 0.759
0.276 0.759 0.276
0.724 0.241 0.724
0.724 0.724 0.241
0.759 0.276 0.276
0.769 0.769 0.769

K3TbSc2S6 | the Alexandria database | PBE-GGA | optimized geometry; total magnetic moment = 0.0 μB per formula unit; raw formation energy = -1.79 eV/atom
1.0
3.395 -5.880 0.000
3.395 5.880 0.000
-2.267 0.000 7.324
K Tb Sc S
3 1 2 6
Direct
0.000 0.000 0.000
0.335 0.665 0.000
0.665 0.335 0.000
0.500 0.500 0.500
0.167 0.833 0.500
0.833 0.167 0.500
0.088 0.435 0.304
0.218 0.218 0.695
0.435 0.088 0.304
0.565 0.912 0.696
0.782 0.782 0.305
0.912 0.565 0.696